1.
4
Lattice="0.0000 3.5765 3.5765 3.5765 0.0000 3.5765 3.5765 3.5765 0.0000" Properties=species:S:1:pos:R:3 comment="EuCd2Pd (PBE, optimized geometry)" volume_a3_per_fu=91 ef_ev_per_atom=-0.310 sg="Fm-3m (225)" dos_at_fermi_per_ev_cell=7.3 pbc="T T T"
Eu 0.0000 0.0000 0.0000
Cd 1.7883 1.7883 1.7883
Cd 5.3648 5.3648 5.3648
Pd 3.5765 3.5765 3.5765

2.
4
Lattice="3.5629 0.0000 0.0000 0.0000 3.5629 0.0000 0.0000 0.0000 7.2823" Properties=species:S:1:pos:R:3 comment="EuCd2Pd (PBE, optimized geometry)" volume_a3_per_fu=92 ef_ev_per_atom=-0.351 sg="P4/mmm (123)" dos_at_fermi_per_ev_cell=7.6 pbc="T T T"
Eu 0.0000 0.0000 0.0000
Cd 1.7815 1.7815 2.1996
Cd 1.7815 1.7815 5.0827
Pd 0.0000 0.0000 3.6412

3.
4
Lattice="4.7495 0.0000 0.0000 0.0000 4.7495 0.0000 0.0000 0.0000 3.6040" Properties=species:S:1:pos:R:3 comment="EuCdPd2 (PBE, optimized geometry)" volume_a3_per_fu=81 ef_ev_per_atom=-0.500 sg="P4/mmm (123)" dos_at_fermi_per_ev_cell=12.6 pbc="T T T"
Eu 0.0000 0.0000 0.0000
Cd 2.3747 2.3747 0.0000
Pd 0.0000 2.3747 1.8020
Pd 2.3747 0.0000 1.8020